(1)
GGA-PBE MgNpGe2O8, optimized geometry; E = -87.68 eV/cell
1.0
5.776 0.183 0.000
-2.398 5.258 0.000
-1.689 -2.721 4.811
O Ge Np Mg
8 2 1 1
Direct
0.942 0.253 0.311 O
0.318 0.511 0.193 O
0.747 0.058 0.689 O
0.318 0.125 0.807 O
0.369 0.058 0.311 O
0.489 0.682 0.807 O
0.942 0.631 0.689 O
0.875 0.682 0.193 O
0.750 0.250 0.500 Ge
0.500 0.500 0.000 Ge
0.250 0.750 0.500 Np
0.000 0.000 0.000 Mg



(2)
GGA-PBE CaTl2HgIr, optimized geometry; energy of formation from the pure elements = -56 kJ/mol of formula units
1.0
5.286 0.000 0.000
0.000 5.286 0.000
0.000 0.000 5.516
Tl Ir Ca Hg
2 1 1 1
Direct
0.500 0.000 0.000 Tl
0.000 0.500 0.000 Tl
0.000 0.000 0.000 Ir
0.000 0.000 0.500 Ca
0.500 0.500 0.500 Hg



(3)
GGA-PBE MgRe2Ru, optimized geometry; energy of formation from the pure elements = 141 kJ/mol of formula units
1.0
-2.363 3.434 1.212
-1.601 0.088 -3.369
-2.689 -2.281 1.219
Re Ru Mg
2 1 1
Direct
0.000 0.000 0.000 Re
0.000 0.500 0.500 Re
0.500 0.500 0.000 Ru
0.500 0.000 0.500 Mg



What DOS(E_F) values result from the calculations? In sequence: 6.5 2.2 4.5 states/eV/cell.